The following is a DFT calculation (PBE+U) of a geometry-optimized CdNi2F6 structure.

Structure (POSCAR):
```
CdNi2F6
1.0
-4.409 -1.666 -0.164
3.300 -8.539 -1.946
-1.311 2.595 8.896
F Cd Ni
18 3 6
Cartesian
-2.632 -3.707 3.885
-1.298 -0.202 6.500
0.212 -3.904 2.902
-0.843 -1.103 3.412
-2.268 -4.444 0.962
-3.093 -2.794 7.014
-3.793 -0.702 4.569
1.373 -6.908 2.218
-1.122 -7.408 0.287
-3.368 -1.717 1.822
0.948 -5.894 4.965
-0.307 -2.144 0.580
-2.113 -5.467 6.207
-4.195 -0.079 7.434
-1.577 -6.507 3.375
-0.153 -3.166 5.825
1.775 -7.531 -0.647
0.673 -4.817 -0.228
-1.971 -1.947 5.201
0.000 0.000 0.000
-0.449 -5.664 1.586
-0.445 0.881 3.020
1.120 -2.899 -0.661
1.313 -3.926 4.591
-0.866 1.714 5.876
2.179 -5.640 -1.285
0.675 -2.018 2.360
```

Values from the calculation:
Its size of the total moment is 3.937 μB per formula unit. The total energy comes out at -4.067 eV per atom. As for the symmetry: P-3m1 (164). The density of states at the Fermi level is 0.00 states/eV/cell.